[1]
First-principles (GGA-PBE) data for crystalline Na7Tl2Pb2 at its relaxed geometry, as listed in the Alexandria database.

a = 5.8424 Å, b = 7.9422 Å, c = 7.9422 Å
α = 80.17°, β = 106.72°, γ = 106.72°
Fractional positions:
Na: 0.7399 0.0527 0.4120
Na: 0.2601 0.5880 0.9473
Na: 0.2601 0.9473 0.5880
Na: 0.7399 0.4120 0.0527
Na: 0.5000 0.0000 0.0000
Na: 0.2587 0.5048 0.5048
Na: 0.7413 0.4952 0.4952
Tl: 0.0000 0.1927 0.8073
Tl: 0.0000 0.8073 0.1927
Pb: 0.2398 0.2274 0.2274
Pb: 0.7602 0.7726 0.7726

Output
Magnetic moment = 0.00 μB per cell
Energy relative to the elements = -0.085 eV/atom
Volume = 336.5 Å³/f.u.



[2]
First-principles (GGA-PBE) data for crystalline Na2Tl6Pb at its relaxed geometry, as listed in the Alexandria database.

a = 5.9254 Å, b = 9.7838 Å, c = 9.7838 Å
α = 73.08°, β = 83.03°, γ = 83.03°
Fractional positions:
Na: 0.4151 0.5386 0.7911
Na: 0.0849 0.2089 0.4614
Na: 0.5849 0.4614 0.2089
Na: 0.9151 0.7911 0.5386
Tl: 0.4688 0.6820 0.4307
Tl: 0.0312 0.5693 0.3180
Tl: 0.5312 0.3180 0.5693
Tl: 0.9688 0.4307 0.6820
Tl: 0.6382 0.0977 0.3462
Tl: 0.8618 0.6538 0.9023
Tl: 0.3618 0.9023 0.6538
Tl: 0.1382 0.3462 0.0977
Tl: 0.3086 0.7627 0.0125
Tl: 0.1914 0.9875 0.2373
Tl: 0.6914 0.2373 0.9875
Tl: 0.8086 0.0125 0.7627
Pb: 0.2500 0.1288 0.8712
Pb: 0.7500 0.8712 0.1288

Output
Relative energy among the computed polymorphs = 0.0000 eV per atom
Magnetic moment = 0.00 μB per cell
Energy relative to the elements = -0.055 eV/atom
Volume = 268.2 Å³/f.u.



[3]
First-principles (GGA-PBE) data for crystalline Na4Tl4Pb5 at its relaxed geometry, as listed in the Alexandria database.

a = 5.1588 Å, b = 9.1947 Å, c = 9.1947 Å
α = 85.49°, β = 73.71°, γ = 73.71°
Fractional positions:
Na: 0.9036 0.4690 0.7237
Na: 0.6274 0.2763 0.4690
Na: 0.0964 0.5310 0.2763
Na: 0.3726 0.7237 0.5310
Tl: 0.7657 0.3717 0.0968
Tl: 0.2343 0.6283 0.9032
Tl: 0.8625 0.9032 0.3717
Tl: 0.1375 0.0968 0.6283
Pb: 0.6833 0.8709 0.7625
Pb: 0.3167 0.1291 0.2375
Pb: 0.0000 0.0000 0.0000
Pb: 0.5542 0.7625 0.1291
Pb: 0.4458 0.2375 0.8709

Output
Magnetic moment = 0.00 μB per cell
Energy relative to the elements = -0.070 eV/atom
Volume = 401.8 Å³/f.u.



[4]
First-principles (GGA-PBE) data for crystalline Na4TlPb at its relaxed geometry, as listed in the Alexandria database.

a = 5.7206 Å, b = 5.5840 Å, c = 11.8075 Å
α = 103.54°, β = 104.02°, γ = 90.00°
Fractional positions:
Na: 0.6324 0.1684 0.8371
Na: 0.7953 0.3316 0.1629
Na: 0.3676 0.8316 0.1629
Na: 0.2047 0.6684 0.8371
Na: 0.0623 0.0793 0.6575
Na: 0.4048 0.4207 0.3425
Na: 0.9377 0.9207 0.3425
Na: 0.5952 0.5793 0.6575
Tl: 0.5000 0.0000 0.5000
Tl: 0.0000 0.5000 0.5000
Pb: 0.8078 0.7500 0.0000
Pb: 0.1922 0.2500 0.0000

Output
Relative energy among the computed polymorphs = 0.0052 eV per atom
Magnetic moment = 0.00 μB per cell
Energy relative to the elements = -0.103 eV/atom
Volume = 177.6 Å³/f.u.



[5]
First-principles (GGA-PBE) data for crystalline Na4Tl19Pb6 at its relaxed geometry, as listed in the Alexandria database.

a = 10.6472 Å, b = 10.6472 Å, c = 10.6472 Å
α = 109.47°, β = 109.47°, γ = 109.47°
Fractional positions:
Na: 0.0000 0.0000 0.6484
Na: 0.0000 0.6484 0.0000
Na: 0.3516 0.3516 0.3516
Na: 0.6484 0.0000 0.0000
Tl: 0.7312 0.0000 0.7312
Tl: 0.2688 0.0000 0.2688
Tl: 0.2688 0.2688 0.0000
Tl: 0.7312 0.7312 0.0000
Tl: 0.0000 0.7312 0.7312
Tl: 0.0000 0.2688 0.2688
Tl: 0.0000 0.0000 0.0000
Tl: 0.1994 0.2039 0.5379
Tl: 0.8006 0.3384 0.0045
Tl: 0.6661 0.6616 0.4621
Tl: 0.0045 0.8006 0.3384
Tl: 0.3339 0.7961 0.9955
Tl: 0.5379 0.1994 0.2039
Tl: 0.9955 0.3339 0.7961
Tl: 0.4621 0.6661 0.6616
Tl: 0.7961 0.9955 0.3339
Tl: 0.3384 0.0045 0.8006
Tl: 0.2039 0.5379 0.1994
Tl: 0.6616 0.4621 0.6661
Pb: 0.3672 0.5000 0.8672
Pb: 0.6328 0.5000 0.1328
Pb: 0.1328 0.6328 0.5000
Pb: 0.8672 0.3672 0.5000
Pb: 0.5000 0.8672 0.3672
Pb: 0.5000 0.1328 0.6328

Output
Magnetic moment = 0.00 μB per cell
Energy relative to the elements = 0.040 eV/atom
Volume = 929.2 Å³/f.u.



[6]
First-principles (GGA-PBE) data for crystalline Na4Tl5Pb at its relaxed geometry, as listed in the Alexandria database.

a = 3.8335 Å, b = 3.8335 Å, c = 19.6004 Å
α = 90.00°, β = 90.00°, γ = 90.00°
Fractional positions:
Na: 0.0000 0.0000 0.2051
Na: 0.0000 0.0000 0.4028
Na: 0.0000 0.0000 0.5972
Na: 0.0000 0.0000 0.7949
Tl: 0.5000 0.5000 0.1058
Tl: 0.5000 0.5000 0.3048
Tl: 0.5000 0.5000 0.5000
Tl: 0.5000 0.5000 0.6952
Tl: 0.5000 0.5000 0.8942
Pb: 0.0000 0.0000 0.0000

Output
Relative energy among the computed polymorphs = 0.0144 eV per atom
Magnetic moment = 0.00 μB per cell
Energy relative to the elements = -0.083 eV/atom
Volume = 288.0 Å³/f.u.



[7]
First-principles (GGA-PBE) data for crystalline NaTlPb at its relaxed geometry, as listed in the Alexandria database.

a = 8.6220 Å, b = 3.4727 Å, c = 6.0231 Å
α = 90.00°, β = 77.72°, γ = 90.00°
Fractional positions:
Pb: 0.1578 0.5000 0.7905
Pb: 0.8422 0.5000 0.2095
Na: 0.1728 0.0000 0.2836
Na: 0.8272 0.0000 0.7164
Tl: 0.5000 0.5000 0.0000
Tl: 0.5000 0.0000 0.5000

Output
Magnetic moment = 0.00 μB per cell
Energy relative to the elements = -0.092 eV/atom
Volume = 88.1 Å³/f.u.



[8]
First-principles (GGA-PBE) data for crystalline Na3Tl4Pb at its relaxed geometry, as listed in the Alexandria database.

a = 3.8748 Å, b = 5.1913 Å, c = 12.5799 Å
α = 105.03°, β = 98.86°, γ = 90.00°
Fractional positions:
Na: 0.0000 0.5000 0.0000
Na: 0.1289 0.1658 0.2579
Na: 0.8711 0.8342 0.7421
Tl: 0.3985 0.3663 0.7969
Tl: 0.6015 0.6337 0.2031
Tl: 0.7315 0.7295 0.4630
Tl: 0.2685 0.2705 0.5370
Pb: 0.5000 0.0000 0.0000

Output
Relative energy among the computed polymorphs = 0.0665 eV per atom
Magnetic moment = 0.00 μB per cell
Energy relative to the elements = -0.046 eV/atom
Volume = 241.3 Å³/f.u.



[9]
First-principles (GGA-PBE) data for crystalline Na2Tl5Pb at its relaxed geometry, as listed in the Alexandria database.

a = 5.2398 Å, b = 6.6694 Å, c = 13.3778 Å
α = 90.00°, β = 90.00°, γ = 90.00°
Fractional positions:
Na: 0.5000 0.2569 0.6215
Na: 0.5000 0.7431 0.3785
Na: 0.5000 0.2431 0.1215
Na: 0.5000 0.7569 0.8785
Tl: 0.0000 0.0000 0.0000
Tl: 0.0000 0.5000 0.5000
Tl: 0.0000 0.5124 0.7502
Tl: 0.0000 0.4876 0.2498
Tl: 0.0000 0.9876 0.2502
Tl: 0.0000 0.0124 0.7498
Tl: 0.5000 0.2574 0.8707
Tl: 0.5000 0.7426 0.1293
Tl: 0.5000 0.2426 0.3707
Tl: 0.5000 0.7574 0.6293
Pb: 0.0000 0.0000 0.5000
Pb: 0.0000 0.5000 0.0000

Output
Relative energy among the computed polymorphs = 0.0030 eV per atom
Magnetic moment = 0.00 μB per cell
Energy relative to the elements = -0.064 eV/atom
Volume = 233.8 Å³/f.u.



[10]
First-principles (GGA-PBE) data for crystalline Na5Tl5Pb2 at its relaxed geometry, as listed in the Alexandria database.

a = 4.7560 Å, b = 10.3219 Å, c = 7.8593 Å
α = 98.98°, β = 72.39°, γ = 76.68°
Fractional positions:
Na: 0.6669 0.2550 0.4112
Na: 0.9982 0.2515 0.7522
Na: 0.0018 0.7485 0.2478
Na: 0.3331 0.7450 0.5888
Na: 0.0000 0.0000 0.0000
Tl: 0.0000 0.5000 0.5000
Tl: 0.6589 0.7550 0.9272
Tl: 0.3249 0.0028 0.3473
Tl: 0.6751 0.9972 0.6527
Tl: 0.3411 0.2450 0.0728
Pb: 0.3276 0.5048 0.8401
Pb: 0.6724 0.4952 0.1599

Output
Relative energy among the computed polymorphs = 0.0000 eV per atom
Magnetic moment = 0.00 μB per cell
Energy relative to the elements = -0.112 eV/atom
Volume = 347.1 Å³/f.u.



[11]
First-principles (GGA-PBE) data for crystalline Na4TlPb at its relaxed geometry, as listed in the Alexandria database.

a = 6.3405 Å, b = 6.3405 Å, c = 6.3405 Å
α = 60.00°, β = 60.00°, γ = 60.00°
Fractional positions:
Pb: 0.0000 0.0000 0.0000
Na: 0.6254 0.6254 0.1238
Na: 0.6254 0.1238 0.6254
Na: 0.6254 0.6254 0.6254
Na: 0.1238 0.6254 0.6254
Tl: 0.2500 0.2500 0.2500

Output
Relative energy among the computed polymorphs = 0.1298 eV per atom
Magnetic moment = 0.00 μB per cell
Energy relative to the elements = 0.022 eV/atom
Volume = 180.2 Å³/f.u.



[12]
First-principles (GGA-PBE) data for crystalline Na2TlPb2 at its relaxed geometry, as listed in the Alexandria database.

a = 9.1338 Å, b = 9.1338 Å, c = 3.6277 Å
α = 90.00°, β = 90.00°, γ = 90.00°
Fractional positions:
Pb: 0.1244 0.6244 0.5000
Pb: 0.6244 0.8756 0.5000
Pb: 0.8756 0.3756 0.5000
Pb: 0.3756 0.1244 0.5000
Na: 0.3267 0.8267 0.0000
Na: 0.8267 0.6733 0.0000
Na: 0.6733 0.1733 0.0000
Na: 0.1733 0.3267 0.0000
Tl: 0.0000 0.0000 0.0000
Tl: 0.5000 0.5000 0.0000

Output
Relative energy among the computed polymorphs = 0.0832 eV per atom
Magnetic moment = 0.00 μB per cell
Energy relative to the elements = -0.044 eV/atom
Volume = 151.3 Å³/f.u.



[13]
First-principles (GGA-PBE) data for crystalline Na2Tl3Pb4 at its relaxed geometry, as listed in the Alexandria database.

a = 3.5263 Å, b = 3.5263 Å, c = 25.7421 Å
α = 90.00°, β = 90.00°, γ = 120.00°
Fractional positions:
Na: 0.6667 0.3333 0.0848
Na: 0.6667 0.3333 0.8762
Tl: 0.0000 0.0000 0.9809
Tl: 0.0000 0.0000 0.3181
Tl: 0.6667 0.3333 0.6602
Pb: 0.0000 0.0000 0.5446
Pb: 0.6667 0.3333 0.4339
Pb: 0.6667 0.3333 0.2083
Pb: 0.0000 0.0000 0.7703

Output
Relative energy among the computed polymorphs = 0.0708 eV per atom
Magnetic moment = 0.00 μB per cell
Energy relative to the elements = -0.016 eV/atom
Volume = 277.2 Å³/f.u.



[14]
First-principles (GGA-PBE) data for crystalline NaTl5Pb2 at its relaxed geometry, as listed in the Alexandria database.

a = 5.7390 Å, b = 6.8079 Å, c = 14.0319 Å
α = 90.00°, β = 90.00°, γ = 114.93°
Fractional positions:
Na: 0.6931 0.3862 0.7500
Na: 0.3069 0.6138 0.2500
Tl: 0.9092 0.8185 0.8912
Tl: 0.9092 0.8185 0.6088
Tl: 0.3728 0.7456 0.4792
Tl: 0.3728 0.7456 0.0208
Tl: 0.5766 0.1531 0.2500
Tl: 0.4234 0.8469 0.7500
Tl: 0.6272 0.2544 0.5208
Tl: 0.6272 0.2544 0.9792
Tl: 0.0908 0.1815 0.1088
Tl: 0.0908 0.1815 0.3912
Pb: 0.8264 0.6527 0.3672
Pb: 0.8264 0.6527 0.1328
Pb: 0.1736 0.3473 0.6328
Pb: 0.1736 0.3473 0.8672

Output
Relative energy among the computed polymorphs = 0.0421 eV per atom
Magnetic moment = 0.00 μB per cell
Energy relative to the elements = 0.004 eV/atom
Volume = 248.6 Å³/f.u.



[15]
First-principles (GGA-PBE) data for crystalline Na3Tl2Pb at its relaxed geometry, as listed in the Alexandria database.

a = 3.5121 Å, b = 3.5121 Å, c = 13.8854 Å
α = 90.00°, β = 90.00°, γ = 90.00°
Fractional positions:
Na: 0.0000 0.0000 0.0000
Na: 0.0000 0.0000 0.6707
Na: 0.0000 0.0000 0.3293
Tl: 0.5000 0.5000 0.8378
Tl: 0.5000 0.5000 0.1622
Pb: 0.5000 0.5000 0.5000

Output
Relative energy among the computed polymorphs = 0.0093 eV per atom
Magnetic moment = 0.00 μB per cell
Energy relative to the elements = -0.106 eV/atom
Volume = 171.3 Å³/f.u.



[16]
First-principles (GGA-PBE) data for crystalline Na3Tl6Pb at its relaxed geometry, as listed in the Alexandria database.

a = 7.9548 Å, b = 9.3066 Å, c = 9.3066 Å
α = 112.80°, β = 90.00°, γ = 90.00°
Fractional positions:
Na: 0.4744 0.8734 0.7206
Na: 0.9744 0.7206 0.8734
Na: 0.2000 0.3835 0.6165
Na: 0.7000 0.6165 0.3835
Na: 0.9744 0.1266 0.2794
Na: 0.4744 0.2794 0.1266
Tl: 0.1086 0.7518 0.5724
Tl: 0.6086 0.5724 0.7518
Tl: 0.3360 0.5647 0.0235
Tl: 0.8360 0.0235 0.5647
Tl: 0.2838 0.9429 0.0571
Tl: 0.5198 0.2334 0.7666
Tl: 0.0198 0.7666 0.2334
Tl: 0.7838 0.0571 0.9429
Tl: 0.3360 0.9765 0.4353
Tl: 0.8360 0.4353 0.9765
Tl: 0.1086 0.4276 0.2482
Tl: 0.6086 0.2482 0.4276
Pb: 0.1438 0.1455 0.8545
Pb: 0.6438 0.8545 0.1455

Output
Relative energy among the computed polymorphs = 0.0643 eV per atom
Magnetic moment = 0.00 μB per cell
Energy relative to the elements = -0.022 eV/atom
Volume = 317.6 Å³/f.u.



[17]
First-principles (GGA-PBE) data for crystalline NaTl4Pb5 at its relaxed geometry, as listed in the Alexandria database.

a = 3.3964 Å, b = 3.3964 Å, c = 26.6835 Å
α = 90.00°, β = 90.00°, γ = 90.00°
Fractional positions:
Na: 0.0000 0.0000 0.0000
Tl: 0.0000 0.0000 0.1950
Tl: 0.0000 0.0000 0.3983
Tl: 0.0000 0.0000 0.6017
Tl: 0.0000 0.0000 0.8050
Pb: 0.5000 0.5000 0.0952
Pb: 0.5000 0.5000 0.2974
Pb: 0.5000 0.5000 0.5000
Pb: 0.5000 0.5000 0.7026
Pb: 0.5000 0.5000 0.9048

Output
Relative energy among the computed polymorphs = 0.0000 eV per atom
Magnetic moment = 0.00 μB per cell
Energy relative to the elements = -0.018 eV/atom
Volume = 307.8 Å³/f.u.



[18]
First-principles (GGA-PBE) data for crystalline Na2Tl2Pb at its relaxed geometry, as listed in the Alexandria database.

a = 4.9674 Å, b = 5.9773 Å, c = 5.8920 Å
α = 79.58°, β = 65.07°, γ = 65.45°
Fractional positions:
Na: 0.7060 0.6984 0.3896
Na: 0.2940 0.3016 0.6104
Tl: 0.0967 0.1028 0.2037
Tl: 0.9033 0.8972 0.7963
Pb: 0.5000 0.5000 0.0000

Output
Relative energy among the computed polymorphs = 0.0000 eV per atom
Magnetic moment = 0.00 μB per cell
Energy relative to the elements = -0.109 eV/atom
Volume = 144.3 Å³/f.u.



[19]
First-principles (GGA-PBE) data for crystalline Na5Tl2Pb2 at its relaxed geometry, as listed in the Alexandria database.

a = 5.5235 Å, b = 6.3014 Å, c = 9.5764 Å
α = 62.23°, β = 73.24°, γ = 64.01°
Fractional positions:
Na: 0.4393 0.7987 0.3228
Na: 0.5607 0.2013 0.6772
Na: 0.1193 0.4395 0.3219
Na: 0.8807 0.5605 0.6781
Na: 0.0000 0.0000 0.0000
Tl: 0.3304 0.3658 0.9733
Tl: 0.6696 0.6342 0.0267
Pb: 0.2179 0.9150 0.6493
Pb: 0.7821 0.0850 0.3507

Output
Relative energy among the computed polymorphs = 0.0000 eV per atom
Magnetic moment = 0.00 μB per cell
Energy relative to the elements = -0.115 eV/atom
Volume = 263.6 Å³/f.u.



[20]
First-principles (GGA-PBE) data for crystalline Na7Tl2Pb3 at its relaxed geometry, as listed in the Alexandria database.

a = 3.4917 Å, b = 5.6594 Å, c = 18.7249 Å
α = 97.63°, β = 90.00°, γ = 90.00°
Fractional positions:
Na: 0.5000 0.7336 0.4624
Na: 0.5000 0.2664 0.5376
Na: 0.0000 0.5809 0.1429
Na: 0.0000 0.0000 0.0000
Na: 0.0000 0.4191 0.8571
Na: 0.5000 0.8869 0.7907
Na: 0.5000 0.1131 0.2093
Tl: 0.5000 0.6530 0.2958
Tl: 0.5000 0.3470 0.7042
Pb: 0.5000 0.5000 0.0000
Pb: 0.0000 0.1904 0.3722
Pb: 0.0000 0.8096 0.6278

Output
Magnetic moment = 0.00 μB per cell
Energy relative to the elements = -0.070 eV/atom
Volume = 366.7 Å³/f.u.



| no. | final energy (eV/atom) |
| --- | --- |
| 1 | -2.029 |
| 2 | -2.337 |
| 3 | -2.630 |
| 4 | -1.995 |
| 5 | -2.460 |
| 6 | -2.165 |
| 7 | -2.556 |
| 8 | -2.187 |
| 9 | -2.336 |
| 10 | -2.266 |
| 11 | -1.870 |
| 12 | -2.528 |
| 13 | -2.746 |
| 14 | -2.567 |
| 15 | -2.172 |
| 16 | -2.209 |
| 17 | -2.951 |
| 18 | -2.324 |
| 19 | -2.198 |
| 20 | -2.161 |